TiCd3Pd | meta-GGA SCAN | single point on PBEsol structure

```
5
Lattice="5.112 0.000 0.000 0.000 5.112 0.000 0.000 0.000 5.112" Properties=species:S:1:pos:R:3 pbc="T T T"
Cd 0.000 0.000 2.556
Pd 2.556 2.556 2.556
Cd 0.000 2.556 0.000
Cd 2.556 0.000 0.000
Ti 0.000 0.000 0.000
```

The value obtained for the raw total energy is -26.92 eV per atom. The space-group type is Pm-3m, No. 221. The calculation puts the formation energy at 527 kJ/mol of formula units.

---

Ti2CdPdW | meta-GGA SCAN | single point on PBEsol structure

```
5
Lattice="-2.610 -3.767 -0.132 3.279 -2.348 2.180 -1.941 1.198 4.209" Properties=species:S:1:pos:R:3 pbc="T T T"
Ti -1.305 -1.884 -0.066
Pd 0.000 0.000 0.000
Cd -0.970 0.599 2.105
W -0.636 -2.459 3.129
Ti 1.640 -1.174 1.090
```

The value obtained for the raw total energy is -31.75 eV per atom. The space-group type is P4/mmm, No. 123. The calculation puts the formation energy at 597 kJ/mol of formula units.

---

TlCd2Pd | meta-GGA SCAN | single point on PBEsol structure

```
4
Lattice="4.810 0.000 0.000 2.405 4.165 0.000 2.405 1.388 3.927" Properties=species:S:1:pos:R:3 pbc="T T T"
Tl 4.810 2.777 1.964
Cd 7.215 4.165 2.945
Pd 0.000 0.000 0.000
Cd 2.405 1.388 0.982
```

The value obtained for the raw total energy is -41.53 eV per atom. The space-group type is Fm-3m, No. 225. The calculation puts the formation energy at -14 kJ/mol of formula units.

---

Tm4CdPd | meta-GGA SCAN | single point on PBEsol structure

```
24
Lattice="9.380 0.000 0.000 4.690 8.123 0.000 4.690 2.708 7.659" Properties=species:S:1:pos:R:3 pbc="T T T"
Tm 2.958 1.708 3.328
Tm 4.690 4.707 3.328
Pd 16.036 9.259 6.547
Tm 12.102 6.987 4.941
Tm 6.422 3.707 0.501
Tm 9.380 2.051 1.451
Pd 12.103 9.259 6.547
Cd 7.840 4.526 3.201
Cd 9.380 5.416 5.715
Pd 14.070 5.853 6.547
Tm 9.380 5.416 0.496
Tm 6.422 1.708 3.328
Tm 12.293 7.098 1.451
Tm 2.958 3.707 0.501
Tm 12.293 3.734 6.208
Tm 9.380 8.780 6.208
Tm 6.467 7.098 1.451
Tm 6.658 6.987 4.941
Tm 6.467 3.734 6.208
Tm 9.380 2.273 4.941
Tm 4.690 0.708 0.501
Cd 9.380 7.194 3.201
Pd 14.070 8.123 3.336
Cd 10.920 4.526 3.201
```

The value obtained for the raw total energy is -45.65 eV per atom. The space-group type is F-43m, No. 216. The calculation puts the formation energy at -327 kJ/mol of formula units.

---

TmCdPd2 | meta-GGA SCAN | single point on PBEsol structure

```
4
Lattice="-2.152 -1.453 -3.878 -4.157 -2.102 0.286 -3.834 2.196 -1.503" Properties=species:S:1:pos:R:3 pbc="T T T"
Pd -2.536 -0.340 -1.274
Pd -7.608 -1.019 -3.821
Tm 0.000 0.000 0.000
Cd -5.072 -0.680 -2.548
```

The value obtained for the raw total energy is -37.76 eV per atom. The space-group type is Fm-3m, No. 225. The calculation puts the formation energy at -314 kJ/mol of formula units.

---

YCd2Pd2 | meta-GGA SCAN | single point on PBEsol structure

```
5
Lattice="3.948 0.000 0.000 0.000 3.948 0.000 -1.974 -1.974 6.462" Properties=species:S:1:pos:R:3 pbc="T T T"
Pd 0.000 0.000 5.173
Cd 0.000 1.974 3.231
Y 0.000 0.000 0.000
Cd 1.974 0.000 3.231
Pd 1.974 1.974 1.288
```

The value obtained for the raw total energy is -31.41 eV per atom. The space-group type is I4/mmm, No. 139. The calculation puts the formation energy at -274 kJ/mol of formula units.